Density functional theory data (PBE with a Hubbard U) for KVCoF2 after structural relaxation.

E_tot = -3.599 eV/atom

a = 4.222 Å, b = 4.222 Å, c = 6.537 Å
α = 90.00°, β = 90.00°, γ = 90.00°
Fractional coordinates of all 5 atoms:
1 K 0.000 0.000 0.500
2 F 0.000 0.500 0.000
3 F 0.500 0.000 0.000
4 Co 0.000 0.000 0.000
5 V 0.500 0.500 0.500